Arrangement i

Computed, not measured: crystalline CsKRb2I at its relaxed geometry at the PBE-GGA level of DFT.

Unit cell a=7.3499 b=7.3499 c=7.6397 alpha=90.00 beta=90.00 gamma=90.00
Space group P4/mmm (No. 123)
Inequivalent atoms, fractional coordinates:
Cs (0.0000, 0.0000, 0.0000) (multiplicity 1)
K (0.5000, 0.5000, 0.0000) (multiplicity 1)
Rb (0.0000, 0.5000, 0.5000) (multiplicity 2)
I (0.0000, 0.0000, 0.5000) (multiplicity 1)

Summary:
Theoretical density (kg/m3): 1890
Spin magnetization (μB per cell): 0.00

***

Arrangement ii

Computed, not measured: crystalline CsKRb2I at its relaxed geometry at the PBE-GGA level of DFT.

Unit cell a=7.4957 b=7.4957 c=7.1993 alpha=90.00 beta=90.00 gamma=90.00
Space group P4/mmm (No. 123)
Inequivalent atoms, fractional coordinates:
Cs (0.0000, 0.0000, 0.0000) (multiplicity 1)
K (0.5000, 0.5000, 0.0000) (multiplicity 1)
Rb (0.0000, 0.5000, 0.5000) (multiplicity 2)
I (0.5000, 0.5000, 0.5000) (multiplicity 1)

Summary:
Theoretical density (kg/m3): 1929
Spin magnetization (μB per cell): 0.00

***

It comes down to arrangement i, which is 33 meV per atom more stable than the next structure.

***

Arrangement i

Computed, not measured: crystalline CsKSbI2 at its relaxed geometry at the PBE-GGA level of DFT.

Unit cell a=6.7231 b=6.7231 c=6.6333 alpha=90.00 beta=90.00 gamma=90.00
Space group P4/mmm (No. 123)
Inequivalent atoms, fractional coordinates:
Cs (0.0000, 0.0000, 0.0000) (multiplicity 1)
K (0.5000, 0.5000, 0.5000) (multiplicity 1)
Sb (0.5000, 0.5000, 0.0000) (multiplicity 1)
I (0.0000, 0.5000, 0.5000) (multiplicity 2)

Summary:
Theoretical density (kg/m3): 3033
Spin magnetization (μB per cell): 3.04

***

Arrangement ii

Computed, not measured: crystalline CsKSbI2 at its relaxed geometry at the PBE-GGA level of DFT.

Unit cell a=7.2896 b=7.2896 c=7.1519 alpha=90.00 beta=90.00 gamma=90.00
Space group P4/mmm (No. 123)
Inequivalent atoms, fractional coordinates:
Cs (0.0000, 0.0000, 0.0000) (multiplicity 1)
K (0.5000, 0.5000, 0.5000) (multiplicity 1)
Sb (0.0000, 0.0000, 0.5000) (multiplicity 1)
I (0.0000, 0.5000, 0.0000) (multiplicity 2)

Summary:
Theoretical density (kg/m3): 2393
Spin magnetization (μB per cell): 3.06

***

It comes down to arrangement i, which is 187 meV per atom more stable than the next structure.

***

Arrangement i

Computed, not measured: crystalline Cs2KTlI6 at its relaxed geometry at the PBE-GGA level of DFT.

Unit cell a=8.7648 b=9.2290 c=15.3670 alpha=90.00 beta=124.62 gamma=90.00
Space group P2_1/c (No. 14)
Inequivalent atoms, fractional coordinates:
Cs (0.2264, 0.0761, 0.2519) (multiplicity 4)
K (0.0000, 0.0000, 0.5000) (multiplicity 2)
Tl (0.5000, 0.0000, 0.0000) (multiplicity 2)
I (0.1716, 0.1794, 0.9561) (multiplicity 4)
I (0.2778, 0.7200, 0.9558) (multiplicity 4)
I (0.3572, 0.0152, 0.7679) (multiplicity 4)

Summary:
Theoretical density (kg/m3): 4126
Spin magnetization (μB per cell): 0.00

***

Arrangement ii

Computed, not measured: crystalline Cs2KTlI6 at its relaxed geometry at the PBE-GGA level of DFT.

Unit cell a=12.7817 b=12.7817 c=12.7817 alpha=90.00 beta=90.00 gamma=90.00
Space group Fm-3m (No. 225)
Inequivalent atoms, fractional coordinates:
Cs (0.2500, 0.2500, 0.2500) (multiplicity 8)
K (0.0000, 0.0000, 0.0000) (multiplicity 4)
Tl (0.0000, 0.0000, 0.5000) (multiplicity 4)
I (0.0000, 0.0000, 0.2641) (multiplicity 24)

Summary:
Theoretical density (kg/m3): 4042
Spin magnetization (μB per cell): 0.00

***

It comes down to arrangement i, which is 28 meV per atom more stable than the next structure.

***

Arrangement i

Computed, not measured: crystalline CsLaI2 at its relaxed geometry at the PBE-GGA level of DFT.

Unit cell a=4.3454 b=4.3454 c=30.2338 alpha=90.00 beta=90.00 gamma=120.00
Space group R-3m (No. 166, hexagonal axes)
Inequivalent atoms, fractional coordinates:
Cs (0.0000, 0.0000, 0.0000) (multiplicity 3)
La (0.0000, 0.0000, 0.5000) (multiplicity 3)
I (0.0000, 0.0000, 0.2396) (multiplicity 6)

Summary:
Theoretical density (kg/m3): 5296
Spin magnetization (μB per cell): 0.00

***

Arrangement ii

Computed, not measured: crystalline CsLaI2 at its relaxed geometry at the PBE-GGA level of DFT.

Unit cell a=4.0899 b=4.0899 c=9.0550 alpha=90.00 beta=90.00 gamma=90.00
Space group P4/mmm (No. 123)
Inequivalent atoms, fractional coordinates:
Cs (0.0000, 0.0000, 0.0000) (multiplicity 1)
La (0.0000, 0.0000, 0.5000) (multiplicity 1)
I (0.5000, 0.5000, 0.2935) (multiplicity 2)

Summary:
Theoretical density (kg/m3): 5762
Spin magnetization (μB per cell): 0.00

***

Arrangement iii

Computed, not measured: crystalline CsLaI2 at its relaxed geometry at the PBE-GGA level of DFT.

Unit cell a=9.4500 b=9.4500 c=9.2386 alpha=90.00 beta=90.00 gamma=90.00
Space group I-42d (No. 122)
Inequivalent atoms, fractional coordinates:
Cs (0.0000, 0.0000, 0.0000) (multiplicity 4)
La (0.0000, 0.0000, 0.5000) (multiplicity 4)
I (0.2011, 0.2500, 0.6250) (multiplicity 8)

Summary:
Theoretical density (kg/m3): 4232
Spin magnetization (μB per cell): 7.71

***

It comes down to arrangement i, which is 22 meV per atom more stable than the next structure.